1.
Computed, not measured: a geometry-optimized BaTl2WSe structure at the PBE level of DFT.

## Properties
Calculated volume   43.06 Å³/atom
Mass density   6.24 Mg/m³
Space group   No. 123
Uncorrected formation energy   1.817 eV per atom
Final energy   -0.206 Ry/atom

Cell and atoms, written as extended XYZ:
```
5
Lattice="-4.947 0.685 -3.943 3.291 -0.242 -4.171 -0.717 -6.319 -0.199" Properties=species:S:1:pos:R:3 pbc="T T T"
Ba 0.000 0.000 0.000
Tl -0.358 -3.159 -0.099
Tl -2.473 0.343 -1.971
W 1.646 -0.121 -2.086
Se -1.186 -2.938 -4.156
```

=====

2.
Computed, not measured: a geometry-optimized ReIr2I structure at the PBE level of DFT.

## Properties
Calculated volume   17.25 Å³/atom
Mass density   16.79 Mg/m³
Space group   No. 225
Uncorrected formation energy   1.358 eV per atom
Final energy   -0.483 Ry/atom
Energy above the lowest structure with this stoichiometry   0.4223 eV per atom

Cell and atoms, written as extended XYZ:
```
4
Lattice="-0.988 2.983 3.365 -4.341 1.394 0.640 -2.346 -1.403 3.705" Properties=species:S:1:pos:R:3 pbc="T T T"
Ir -1.919 0.743 1.927
Ir -5.756 2.230 5.782
Re -3.837 1.487 3.855
I 0.000 0.000 0.000
```

=====

3.
Computed, not measured: a geometry-optimized ScTl2Ni structure at the PBE level of DFT.

## Properties
Calculated volume   21.54 Å³/atom
Mass density   9.87 Mg/m³
Space group   No. 8
Calculated formation energy   0.005 eV per atom
Final energy   -0.309 Ry/atom

Cell and atoms, written as extended XYZ:
```
4
Lattice="-3.029 -5.208 -0.791 -0.680 -5.061 -3.294 2.215 -3.719 1.861" Properties=species:S:1:pos:R:3 pbc="T T T"
Ni -0.827 -7.092 -1.193
Sc -0.069 -3.157 -0.250
Tl -3.697 -10.256 -4.073
Tl -1.356 -10.746 -1.904
```

=====

4.
Computed, not measured: a geometry-optimized Sm4Tl2Hg structure at the PBE level of DFT.

## Properties
Calculated volume   30.99 Å³/atom
Mass density   9.27 Mg/m³
Space group   No. 166
Calculated formation energy   -0.268 eV per atom
Final energy   -0.271 Ry/atom
Energy above the lowest structure with this stoichiometry   0.0000 eV per atom

Cell and atoms, written as extended XYZ:
```
7
Lattice="5.130 0.000 1.603 2.315 4.578 1.603 -0.062 -0.038 9.211" Properties=species:S:1:pos:R:3 pbc="T T T"
Sm 0.906 0.557 6.110
Sm 2.765 1.700 9.172
Sm 6.476 3.982 6.306
Sm 4.617 2.839 3.244
Tl 5.537 3.405 9.310
Tl 1.845 1.135 3.106
Hg 0.000 0.000 0.000
```